[1]
VASP calculation (meta-GGA SCAN) on In2AgW at its PBEsol-relaxed geometry.

E = -330.3 eV/cell
E above lowest polymorph = 239.6 meV/atom

Unit cell a=4.1172 b=4.1172 c=8.6630 alpha=90.00 beta=90.00 gamma=90.00
Closest atoms and distances in Å follow each position.
Space group I4/mmm (No. 139)
Unique sites:
In 0.0000 0.5000 0.2500 [4 per cell]  4 In 2.91, 4 W 2.99, 4 Ag 2.99
Ag 0.0000 0.0000 0.0000 [2 per cell]  4 W 2.91, 8 In 2.99
W 0.0000 0.0000 0.5000 [2 per cell]  4 Ag 2.91, 8 In 2.99

---

[2]
VASP calculation (meta-GGA SCAN) on YAlZn at its PBEsol-relaxed geometry.

E = -50.8 eV/cell

Unit cell a=4.4168 b=4.4168 c=3.5435 alpha=90.00 beta=90.00 gamma=120.00
Closest atoms and distances in Å follow each position.
Space group P-6m2 (No. 187)
Unique sites:
Y 0.0000 0.0000 0.0000 [1 per cell]  6 Al 3.11, 6 Zn 3.11
Al 0.6667 0.3333 0.5000 [1 per cell]  3 Zn 2.55
Zn 0.3333 0.6667 0.5000 [1 per cell]  3 Al 2.55

---

[3]
VASP calculation (meta-GGA SCAN) on Ta3Ir5 at its PBEsol-relaxed geometry.

E = -1122.2 eV/cell

Unit cell a=7.7180 b=7.9890 c=3.9464 alpha=90.00 beta=90.00 gamma=90.00
Closest atoms and distances in Å follow each position.
Space group Cmmm (No. 65)
Unique sites:
Ta 0.0000 0.0000 0.0000 [2 per cell]  8 Ir 2.72-2.78, 4 Ta 2.92
Ta 0.0000 0.2693 0.5000 [4 per cell]  10 Ir 2.70-2.86, 2 Ta 2.92
Ir 0.0000 0.5000 0.0000 [2 per cell]  4 Ta 2.70, 8 Ir 2.78-2.80
Ir 0.2433 0.0000 0.5000 [4 per cell]  6 Ta 2.71-2.86, 6 Ir 2.80-2.81
Ir 0.2500 0.2500 0.0000 [4 per cell]  6 Ta 2.76-2.78, 6 Ir 2.78-2.81

---

ΔH_f (0 K) per entry: 259, -159, -566 kJ/mol of formula units